DFT (PBE-GGA) results for a geometry-optimized Dy3Th2Sc6 structure.

Geometry as CIF:
```
data_Dy3Th2Sc6
_cell_length_a 5.8414
_cell_length_b 10.1449
_cell_length_c 10.9280
_cell_angle_alpha 90.00
_cell_angle_beta 100.43
_cell_angle_gamma 90.00
_symmetry_space_group_name_H-M 'C 1 2/m 1'
_symmetry_Int_Tables_number 12
_symmetry_space_group_name_Hall '-C 2y'
loop_
_atom_site_label
_atom_site_fract_x
_atom_site_fract_y
_atom_site_fract_z
_atom_site_occupancy
Dy1 0.0000 0.0000 0.0000 1
Dy2 0.0000 0.3350 0.0000 1
Th1 0.0000 0.1659 0.5000 1
Sc1 0.2473 0.3340 0.7441 1
Sc2 0.2487 0.0000 0.7445 1
```

## Properties
The final energy is -5.83 eV/atom. The formation energy is 0.226 eV/atom. The calculation puts the calculated volume at 636.9 Å³/cell.